No. 1
Below is a relaxed structure of Ce7Ir2Pb3, with properties calculated at the PBE level.

Output
* crystal system: orthorhombic
* calculated volume: 367.6 Å³ per cell
* DFT total energy: -0.4596 Ry per atom
* symmetry: Cmmm (65)
* formation energy from the elements: -8.9 kcal/mol of atoms

Cell and atoms, written as extended XYZ:
```
12
Lattice="2.6893 -12.9669 0.0000 2.6893 12.9669 0.0000 0.0000 0.0000 5.2714" Properties=species:S:1:pos:R:3 pbc="T T T"
Ce 0.0000 0.0000 0.0000
Ce 2.6893 10.5686 2.6357
Ce 2.6893 7.2413 0.0000
Ce 2.6893 2.9277 0.0000
Ce 2.6893 -2.9277 0.0000
Ce 2.6893 -7.2413 0.0000
Ce 2.6893 -10.5686 2.6357
Ir 2.6893 10.1103 0.0000
Ir 2.6893 -10.1103 0.0000
Pb 2.6893 4.9653 2.6357
Pb 2.6893 0.0000 2.6357
Pb 2.6893 -4.9653 2.6357
```



No. 2
Below is a relaxed structure of Ce8IrPb2, with properties calculated at the PBE level.

Output
* crystal system: monoclinic
* calculated volume: 292.1 Å³ per cell
* DFT total energy: -0.4489 Ry per atom
* symmetry: C2/m (12)
* formation energy from the elements: -7.2 kcal/mol of atoms

Cell and atoms, written as extended XYZ:
```
11
Lattice="8.1332 -2.8106 0.0000 8.1332 2.8106 0.0000 -3.0918 0.0000 6.3895" Properties=species:S:1:pos:R:3 pbc="T T T"
Ce 15.5453 0.0000 1.4857
Ce -2.3707 0.0000 4.9038
Ce 0.2490 0.0000 4.0609
Ce 5.8780 0.0000 0.5037
Ce 4.0356 0.0000 4.3057
Ce 9.1390 0.0000 2.0838
Ce 7.2966 0.0000 5.8858
Ce 12.9257 0.0000 2.3286
Ir 6.5873 0.0000 3.1948
Pb 2.6592 0.0000 1.2888
Pb 10.5154 0.0000 5.1007
```